Arrangement w

# Li2ZnB | the Alexandria database | PBE-GGA | relaxed
# size of the total moment: 0.0000 μB per atom
# density: 3.4 g/cm³
data_Li2ZnB
_chemical_formula_sum 'Li8 Zn4 B4'
_cell_length_a 5.6216
_cell_length_b 5.6216
_cell_length_c 5.6216
_cell_angle_alpha 90.00
_cell_angle_beta 90.00
_cell_angle_gamma 90.00
_symmetry_space_group_name_H-M 'F m -3 m'
_symmetry_Int_Tables_number 225
_symmetry_space_group_name_Hall '-F 4 2 3'
loop_
_atom_site_label
_atom_site_type_symbol
_atom_site_fract_x
_atom_site_fract_y
_atom_site_fract_z
Li1 Li 0.2500 0.2500 0.2500
Zn1 Zn 0.0000 0.0000 0.0000
B1 B 0.0000 0.0000 0.5000



Arrangement x

# Li2ZnB | the Alexandria database | PBE-GGA | relaxed
# size of the total moment: 0.0000 μB per atom
# density: 2.0 g/cm³
data_Li2ZnB
_chemical_formula_sum 'Li8 Zn4 B4'
_cell_length_a 8.6425
_cell_length_b 8.6425
_cell_length_c 3.9347
_cell_angle_alpha 90.00
_cell_angle_beta 90.00
_cell_angle_gamma 90.00
_symmetry_space_group_name_H-M 'I -4 2 d'
_symmetry_Int_Tables_number 122
_symmetry_space_group_name_Hall 'I -4 2bw'
loop_
_atom_site_label
_atom_site_type_symbol
_atom_site_fract_x
_atom_site_fract_y
_atom_site_fract_z
Li1 Li 0.0770 0.2500 0.1250
Zn1 Zn 0.0000 0.0000 0.5000
B1 B 0.0000 0.0000 0.0000



Which structure wins on stability? arrangement x wins.



Arrangement w

# LiZrB | the Alexandria database | PBE-GGA | relaxed
# size of the total moment: 0.0000 μB per atom
# density: 3.9 g/cm³
data_LiZrB
_chemical_formula_sum 'Li1 Zr1 B1'
_cell_length_a 4.1471
_cell_length_b 4.1471
_cell_length_c 3.1290
_cell_angle_alpha 90.00
_cell_angle_beta 90.00
_cell_angle_gamma 120.00
_symmetry_space_group_name_H-M 'P -6 m 2'
_symmetry_Int_Tables_number 187
_symmetry_space_group_name_Hall 'P -6 2'
loop_
_atom_site_label
_atom_site_type_symbol
_atom_site_fract_x
_atom_site_fract_y
_atom_site_fract_z
Li1 Li 0.0000 0.0000 0.0000
Zr1 Zr 0.6667 0.3333 0.5000
B1 B 0.3333 0.6667 0.5000



Arrangement x

# LiZrB | the Alexandria database | PBE-GGA | relaxed
# size of the total moment: 0.0000 μB per atom
# density: 3.5 g/cm³
data_LiZrB
_chemical_formula_sum 'Li2 Zr2 B2'
_cell_length_a 4.1588
_cell_length_b 4.1588
_cell_length_c 5.9891
_cell_angle_alpha 90.00
_cell_angle_beta 90.00
_cell_angle_gamma 90.00
_symmetry_space_group_name_H-M 'P 4/n m m'
_symmetry_Int_Tables_number 129
loop_
_symmetry_equiv_pos_as_xyz
'x,y,z'
'-x,-y,-z'
'-y+1/2,x,z'
'y+1/2,-x,-z'
'-x+1/2,-y+1/2,z'
'x+1/2,y+1/2,-z'
'y,-x+1/2,z'
'-y,x+1/2,-z'
'x+1/2,-y,-z'
'-x+1/2,y,z'
'-y,-x,-z'
'y,x,z'
'-x,y+1/2,-z'
'x,-y+1/2,z'
'y+1/2,x+1/2,-z'
'-y+1/2,-x+1/2,z'
loop_
_atom_site_label
_atom_site_type_symbol
_atom_site_fract_x
_atom_site_fract_y
_atom_site_fract_z
Li1 Li 0.2500 0.2500 0.1988
Zr1 Zr 0.2500 0.2500 0.6642
B1 B 0.2500 0.7500 0.5000



Which structure wins on stability? arrangement x wins.